Record 1
Compound: La2PmIn2Ag2
Source: Alexandria
Functional: PBE
Structure: relaxed

## Properties
Total magnetization in μB/cell: 0.0
SG: R-3m, No. 166
Formation energy in eV/f.u.: -2.35

Cell lengths 4.9264, 4.9264, 9.5862 Å; angles 75.11, 75.11, 60.00 degrees
With the nearest neighbours (Å) after each atom.
Positions (direct):
Ag  0.6058  0.6058  0.1827  3 In 2.85
Ag  0.3942  0.3942  0.8173  3 In 2.85
La  0.1282  0.1282  0.6154  3 In 3.29, 3 Ag 3.39, 1 Pm 3.52, 3 La 3.54
La  0.8718  0.8718  0.3846  3 In 3.29, 3 Ag 3.39, 1 Pm 3.52, 3 La 3.54
Pm  0.0000  0.0000  0.0000  6 Ag 3.30, 6 In 3.40, 2 La 3.52
In  0.2654  0.2654  0.2039  3 Ag 2.85
In  0.7346  0.7346  0.7961  3 Ag 2.85

Record 2
Compound: LaPmInAg
Source: Alexandria
Functional: PBE
Structure: relaxed

## Properties
Total magnetization in μB/cell: 0.4
SG: F-43m, No. 216
Formation energy in eV/f.u.: -1.49

Cell lengths 5.4570, 5.4570, 5.4570 Å; angles 60.00, 60.00, 60.00 degrees
With the nearest neighbours (Å) after each atom.
Positions (direct):
Pm  0.0000  0.0000  0.0000  4 In 3.34, 4 Ag 3.34
La  0.5000  0.5000  0.5000  4 In 3.34, 4 Ag 3.34
In  0.7500  0.7500  0.7500  4 La 3.34, 4 Pm 3.34
Ag  0.2500  0.2500  0.2500  4 La 3.34, 4 Pm 3.34

Record 3
Compound: LaPrInAg
Source: Alexandria
Functional: PBE
Structure: relaxed

## Properties
Total magnetization in μB/cell: 0.4
SG: F-43m, No. 216
Formation energy in eV/f.u.: -1.47

Cell lengths 5.4925, 5.4925, 5.4925 Å; angles 60.00, 60.00, 60.00 degrees
With the nearest neighbours (Å) after each atom.
Positions (direct):
Ag  0.2500  0.2500  0.2500  4 La 3.36, 4 Pr 3.36
In  0.7500  0.7500  0.7500  4 La 3.36, 4 Pr 3.36
La  0.0000  0.0000  0.0000  4 Ag 3.36, 4 In 3.36
Pr  0.5000  0.5000  0.5000  4 In 3.36, 4 Ag 3.36

Record 4
Compound: LaPr2In2Ag2
Source: Alexandria
Functional: PBE
Structure: relaxed

## Properties
Total magnetization in μB/cell: 0.0
SG: R-3m, No. 166
Formation energy in eV/f.u.: -2.31

Cell lengths 4.9529, 4.9529, 9.7459 Å; angles 75.28, 75.28, 60.00 degrees
With the nearest neighbours (Å) after each atom.
Positions (direct):
La  0.0000  0.0000  0.0000  6 Ag 3.42, 6 In 3.51, 2 Pr 3.54
Ag  0.4005  0.4005  0.7985  3 In 2.86
Ag  0.5995  0.5995  0.2015  3 In 2.86
In  0.7393  0.7393  0.7821  3 Ag 2.86
In  0.2607  0.2607  0.2179  3 Ag 2.86
Pr  0.1266  0.1266  0.6203  3 In 3.23, 3 Ag 3.31, 1 La 3.54
Pr  0.8734  0.8734  0.3797  3 In 3.23, 3 Ag 3.31, 1 La 3.54

Record 5
Compound: La2InAgPt
Source: Alexandria
Functional: PBE
Structure: relaxed

## Properties
Total magnetization in μB/cell: 0.0
SG: P4/mmm, No. 123
Formation energy in eV/f.u.: 1.93

Cell lengths 5.9377, 4.9358, 5.9377 Å; angles 90.00, 90.00, 90.00 degrees
With the nearest neighbours (Å) after each atom.
Positions (direct):
La  0.5000  0.0000  0.0000  2 In 2.97
La  0.0000  0.0000  0.5000  2 In 2.97
In  0.0000  0.0000  0.0000  2 Ag 2.47
Ag  0.0000  0.5000  0.0000  2 In 2.47
Pt  0.5000  0.5000  0.5000  8 La 3.86, 4 Ag 4.20

Record 6
Compound: LaPuInAg
Source: Alexandria
Functional: PBE
Structure: relaxed

## Properties
Total magnetization in μB/cell: 6.1
SG: F-43m, No. 216
Formation energy in eV/f.u.: -0.58

Cell lengths 5.4161, 5.4161, 5.4161 Å; angles 60.00, 60.00, 60.00 degrees
With the nearest neighbours (Å) after each atom.
Positions (direct):
Pu  0.5000  0.5000  0.5000  4 In 3.32, 4 Ag 3.32
La  0.0000  0.0000  0.0000  4 In 3.32, 4 Ag 3.32
In  0.2500  0.2500  0.2500  4 La 3.32, 4 Pu 3.32
Ag  0.7500  0.7500  0.7500  4 Pu 3.32, 4 La 3.32

Record 7
Compound: LaInReAg2
Source: Alexandria
Functional: PBE
Structure: relaxed

## Properties
Total magnetization in μB/cell: 0.0
SG: P4/mmm, No. 123
Formation energy in eV/f.u.: 3.65

Cell lengths 5.2624, 5.1039, 5.2624 Å; angles 90.00, 90.00, 90.00 degrees
With the nearest neighbours (Å) after each atom.
Positions (direct):
Ag  0.5000  0.0000  0.0000  2 Re 2.63
Ag  0.0000  0.0000  0.5000  2 Re 2.63
La  0.0000  0.5000  0.0000  2 Re 2.55
Re  0.0000  0.0000  0.0000  2 La 2.55, 4 Ag 2.63
In  0.5000  0.5000  0.5000  8 Ag 3.67, 4 La 3.72

Record 8
Compound: La4InAg2Rh
Source: Alexandria
Functional: PBE
Structure: relaxed

## Properties
Total magnetization in μB/cell: 0.0
SG: R-3m, No. 166
Formation energy in eV/f.u.: -3.68

Cell lengths 5.3991, 5.3991, 9.1843 Å; angles 72.91, 72.91, 60.00 degrees
With the nearest neighbours (Å) after each atom.
Positions (direct):
La  0.3885  0.3885  0.8344  1 Rh 2.89, 3 Ag 3.14
La  0.6115  0.6115  0.1656  1 Rh 2.89, 3 Ag 3.14
La  0.1336  0.1336  0.5993  3 Rh 3.23, 4 Ag 3.37-3.53, 1 In 3.46, 3 La 3.56
La  0.8664  0.8664  0.4007  3 Rh 3.23, 4 Ag 3.37-3.53, 1 In 3.46, 3 La 3.56
Ag  0.2636  0.2636  0.2093  5 La 3.14-3.37
Ag  0.7364  0.7364  0.7907  5 La 3.14-3.37
In  0.0000  0.0000  0.0000  8 La 3.43-3.46, 6 Ag 3.60
Rh  0.5000  0.5000  0.5000  8 La 2.89-3.23